Record 1
# meta-GGA SCAN Zn3B7ClO13, PBEsol geometry
data_Zn3B7ClO13
_cell_length_a 8.545
_cell_length_b 8.545
_cell_length_c 8.560
_cell_angle_alpha 60.06
_cell_angle_beta 60.06
_cell_angle_gamma 60.00
_space_group_name_H-M_alt 'P 1'
_space_group_IT_number 1
_space_group_name_Hall 'P 1'
loop_
_atom_site_label
_atom_site_type_symbol
_atom_site_fract_x
_atom_site_fract_y
_atom_site_fract_z
Zn1 Zn 0.470 0.472 0.022
O1 O 0.435 0.191 0.765
B1 B 0.248 0.247 0.751
O2 O 0.599 0.214 0.436
B2 B 0.574 0.267 0.586
B3 B 0.247 0.754 0.751
B4 B 0.267 0.573 0.586
B5 B 0.074 0.073 0.086
Zn2 Zn 0.472 0.036 0.022
O3 O 0.714 0.099 0.936
O4 O 0.489 0.489 0.532
O5 O 0.935 0.701 0.108
O6 O 0.945 0.267 0.685
Zn3 Zn 0.972 0.970 0.522
O7 O 0.201 0.435 0.608
B6 B 0.254 0.747 0.251
O8 O 0.701 0.255 0.108
O9 O 0.751 0.599 0.436
O10 O 0.255 0.935 0.108
O11 O 0.755 0.201 0.608
Zn4 Zn 0.036 0.470 0.022
Cl1 Cl 0.269 0.269 0.192
O12 O 0.191 0.610 0.765
B7 B 0.754 0.248 0.751
O13 O 0.935 0.110 0.265
O14 O 0.251 0.714 0.936
B8 B 0.573 0.574 0.586
O15 O 0.435 0.755 0.608
O16 O 0.691 0.935 0.265
B9 B 0.602 0.602 0.194
B10 B 0.073 0.767 0.086
O17 O 0.610 0.435 0.765
Cl2 Cl 0.769 0.769 0.692
Zn5 Zn 0.536 0.972 0.522
O18 O 0.104 0.945 0.685
B11 B 0.767 0.074 0.086
O19 O 0.989 0.989 0.032
O20 O 0.604 0.767 0.185
B12 B 0.102 0.102 0.694
O21 O 0.110 0.691 0.265
Zn6 Zn 0.970 0.536 0.522
B13 B 0.747 0.748 0.251
B14 B 0.748 0.254 0.251
O22 O 0.099 0.251 0.936
O23 O 0.267 0.104 0.685
O24 O 0.767 0.445 0.185
O25 O 0.214 0.751 0.436
O26 O 0.445 0.604 0.185
# Uncorrected formation energy = -57.1 eV per formula unit
# Space-group type = R3c, No. 161


Record 2
# meta-GGA SCAN TaTi2AlCu, PBEsol geometry
data_TaTi2AlCu
_cell_length_a 4.261
_cell_length_b 4.533
_cell_length_c 4.533
_cell_angle_alpha 90.00
_cell_angle_beta 90.00
_cell_angle_gamma 90.00
_space_group_name_H-M_alt 'P 1'
_space_group_IT_number 1
_space_group_name_Hall 'P 1'
loop_
_atom_site_label
_atom_site_type_symbol
_atom_site_fract_x
_atom_site_fract_y
_atom_site_fract_z
Ti1 Ti 0.000 0.000 0.500
Cu1 Cu 0.000 0.000 0.000
Ti2 Ti 0.000 0.500 0.000
Al1 Al 0.500 0.000 0.000
Ta1 Ta 0.500 0.500 0.500
# Space-group type = P4/mmm, No. 123


Record 3
# meta-GGA SCAN LaCd2In, PBEsol geometry
data_LaCd2In
_cell_length_a 4.638
_cell_length_b 4.638
_cell_length_c 4.739
_cell_angle_alpha 90.00
_cell_angle_beta 90.00
_cell_angle_gamma 90.00
_space_group_name_H-M_alt 'P 1'
_space_group_IT_number 1
_space_group_name_Hall 'P 1'
loop_
_atom_site_label
_atom_site_type_symbol
_atom_site_fract_x
_atom_site_fract_y
_atom_site_fract_z
Cd1 Cd 0.500 0.000 0.000
La1 La 0.000 0.000 0.500
Cd2 Cd 0.000 0.500 0.000
In1 In 0.500 0.500 0.500
# Space-group type = P4/mmm, No. 123


Number 1: density 3.9 g cm⁻³, calculated total energy -9.944 eV/atom, total moment 0.0 μB per formula unit. Number 2: density 7.0 g cm⁻³, calculated total energy -23.766 eV/atom, total moment 0.0 μB per formula unit. Number 3: density 7.8 g cm⁻³, calculated total energy -34.733 eV/atom, total moment 0.0 μB per formula unit.